This record from Alexandria via LeMat-Bulk describes a geometry-optimized PrCrO3 structure. The functional is PBE+U.

Lattice parameters (Å, degrees): 3.910 3.910 3.910 90.00 90.00 90.00
Site moments in Bohr magnetons follow the coordinates.
Fractional positions:
O1 0.000 0.500 0.500  0.01
O2 0.500 0.000 0.500  0.01
O3 0.500 0.500 0.000  0.01
Cr1 0.500 0.500 0.500  2.86
Pr1 0.000 0.000 0.000  0.03

Magnetization = 3.00 μB per formula unit
VASP energy = -0.29513 hartree per atom
Theoretical density = 6.693 g/cm³
SG = Pm-3m